[1]
Below is a geometry-optimized TaTl3I2Cl6 structure, with properties calculated at the PBE level.

Cell: 5.7652 8.8795 9.6954 Å, 117.25 89.90 90.00°
Closest atoms and distances in Å follow each position.
Atoms (fractional coordinates):
Cl1 0.7264 0.8708 0.1216  1 Ta 2.38
Cl2 0.2736 0.7492 0.8784  1 Ta 2.38
Cl3 0.2736 0.1292 0.8784  1 Ta 2.38
Cl4 0.2544 0.1096 0.2193  1 Ta 2.36
Cl5 0.7264 0.2508 0.1216  1 Ta 2.38
Cl6 0.7456 0.8904 0.7807  1 Ta 2.36
Tl1 0.5000 0.5000 0.5000  2 I 3.49, 4 Cl 3.55-3.58
Tl2 0.5000 0.0000 0.5000  2 I 3.49, 4 Cl 3.55-3.58
Tl3 0.0000 0.5000 0.0000  4 Cl 3.34, 2 I 3.39
I1 0.9371 0.3044 0.6088  3 Tl 3.39-3.49
I2 0.0629 0.6956 0.3912  3 Tl 3.39-3.49
Ta1 0.5000 0.0000 0.0000  6 Cl 2.36-2.38

Results
- total magnetic moment (μB/cell) = 0.0
- formation energy (no corrections) (eV/atom) = -1.039
- electronic total energy (eV/atom) = -3.8001

---

[2]
Below is a geometry-optimized Tb3I7Cl structure, with properties calculated at the PBE level.

Cell: 7.6869 8.5817 8.5817 Å, 120.00 90.00 90.00°
Closest atoms and distances in Å follow each position.
Atoms (fractional coordinates):
I1 0.5450 0.3364 0.1682  2 Tb 3.06
I2 0.5450 0.8318 0.1682  2 Tb 3.06
I3 0.0114 0.6656 0.8328  2 Tb 3.04
I4 0.0114 0.1672 0.8328  2 Tb 3.04
I5 0.0158 0.6667 0.3333  3 Tb 3.12
I6 0.5450 0.8318 0.6636  2 Tb 3.06
I7 0.0114 0.1672 0.3344  2 Tb 3.04
Cl1 0.5991 0.3333 0.6667  3 Tb 2.79
Tb1 0.7770 0.4973 0.5027  1 Cl 2.79, 5 I 3.04-3.12
Tb2 0.7770 0.0054 0.5027  1 Cl 2.79, 5 I 3.04-3.12
Tb3 0.7770 0.4973 0.9946  1 Cl 2.79, 5 I 3.04-3.12

Results
- total magnetic moment (μB/cell) = 0.7
- formation energy (no corrections) (eV/atom) = -1.425
- electronic total energy (eV/atom) = -3.8420

---

[3]
Below is a geometry-optimized Tb3I7Cl structure, with properties calculated at the PBE level.

Cell: 8.5799 8.5724 8.9229 Å, 76.11 61.26 59.97°
Closest atoms and distances in Å follow each position.
Atoms (fractional coordinates):
I1 0.3485 0.4196 0.3820  2 Tb 3.04
I2 0.8499 0.4196 0.3820  2 Tb 3.04
I3 0.8500 0.9178 0.3822  2 Tb 3.04
I4 0.2852 0.5898 0.8398  2 Tb 3.06
I5 0.2852 0.0853 0.8401  2 Tb 3.06
I6 0.3516 0.9195 0.3773  3 Tb 3.12
I7 0.7894 0.0853 0.8401  2 Tb 3.06
Cl1 0.8126 0.5868 0.7880  3 Tb 2.80
Tb1 0.5728 0.7501 0.6124  1 Cl 2.80, 5 I 3.04-3.12
Tb2 0.0647 0.7501 0.6124  1 Cl 2.80, 5 I 3.04-3.12
Tb3 0.0646 0.2585 0.6124  1 Cl 2.80, 5 I 3.04-3.12

Results
- total magnetic moment (μB/cell) = 0.5
- formation energy (no corrections) (eV/atom) = -1.424
- electronic total energy (eV/atom) = -3.8411

---

[4]
Below is a geometry-optimized TcICl structure, with properties calculated at the PBE level.

Cell: 3.6484 7.4216 7.9894 Å, 75.63 75.56 90.70°
Closest atoms and distances in Å follow each position.
Atoms (fractional coordinates):
I1 0.8419 0.7649 0.2852  2 Tc 2.78-2.80
I2 0.1581 0.2351 0.7148  2 Tc 2.78-2.80
Cl1 0.6286 0.7250 0.7924  1 Tc 2.27
Cl2 0.3714 0.2750 0.2076  1 Tc 2.27
Tc1 0.7222 0.0101 0.5947  2 Tc 2.24-2.50, 1 Cl 2.27
Tc2 0.2778 0.9899 0.4053  2 Tc 2.24-2.50, 1 Cl 2.27

Results
- total magnetic moment (μB/cell) = 0.0
- formation energy (no corrections) (eV/atom) = -0.166
- electronic total energy (eV/atom) = -4.7534

---

> Among the records above, which one has the highest formation energy (no corrections)?

TcICl